Entry from the Alexandria database: crystalline LiScFeF6 at its relaxed geometry (PBE with a Hubbard U).

Cell lengths 4.8147, 4.8147, 9.6032 Å; angles 90.00, 90.00, 90.00 degrees
Atoms (fractional coordinates):
Li1 0.0000 0.0000 0.0000
Li2 0.5000 0.5000 0.5000
Sc1 0.0000 0.0000 0.3379
Sc2 0.5000 0.5000 0.8379
Fe1 0.0000 0.0000 0.6709
Fe2 0.5000 0.5000 0.1709
F1 0.1973 0.1973 0.4976
F2 0.1983 0.1983 0.1760
F3 0.2016 0.2016 0.8385
F4 0.2984 0.7016 0.3385
F5 0.3017 0.6983 0.6760
F6 0.3027 0.6973 0.9976
F7 0.6973 0.3027 0.9976
F8 0.6983 0.3017 0.6760
F9 0.7016 0.2984 0.3385
F10 0.7984 0.7984 0.8385
F11 0.8017 0.8017 0.1760
F12 0.8027 0.8027 0.4976

The total energy is -6.028 eV/atom. The calculation puts the total magnetic moment at 4.00 μB/f.u.